Be2SeO after structural relaxation, computed with PBE-GGA.

Structure (POSCAR):
```
Be2SeO
1.0
4.520 0.000 0.000
0.000 4.520 0.000
0.000 0.000 8.951
Be Se O
8 4 4
Direct
0.157 0.250 0.125
0.250 0.657 0.375
0.250 0.843 0.875
0.343 0.250 0.625
0.657 0.750 0.625
0.750 0.157 0.875
0.750 0.343 0.375
0.843 0.750 0.125
0.000 0.000 0.500
0.000 0.500 0.750
0.500 0.000 0.250
0.500 0.500 0.000
0.000 0.000 0.000
0.000 0.500 0.250
0.500 0.000 0.750
0.500 0.500 0.500
```

Calculated values
The calculation puts the uncorrected formation energy at -1.47 eV/atom. For the energy above the most stable polymorph in this dataset, the calculation gives 0 meV/atom. Its total magnetic moment is 0.00 μB/f.u. The value obtained for the density of states at the Fermi level is 0.0 states/eV/cell.

BeSeO2 after structural relaxation, computed with PBE-GGA.

Structure (POSCAR):
```
BeSeO2
1.0
5.465 0.000 0.000
0.000 5.465 0.000
0.000 0.000 5.465
Be Se O
4 4 8
Direct
0.000 0.000 0.000
0.000 0.500 0.500
0.500 0.000 0.500
0.500 0.500 0.000
0.000 0.000 0.500
0.000 0.500 0.000
0.500 0.000 0.000
0.500 0.500 0.500
0.250 0.250 0.250
0.250 0.250 0.750
0.250 0.750 0.250
0.250 0.750 0.750
0.750 0.250 0.250
0.750 0.250 0.750
0.750 0.750 0.250
0.750 0.750 0.750
```

Calculated values
The calculation puts the uncorrected formation energy at 0.33 eV/atom. For the energy above the most stable polymorph in this dataset, the calculation gives 1497 meV/atom. Its total magnetic moment is 0.00 μB/f.u. The value obtained for the density of states at the Fermi level is 7.2 states/eV/cell.

SrBe2SeO6 after structural relaxation, computed with PBE-GGA.

Structure (POSCAR):
```
SrBe2SeO6
1.0
4.844 -6.415 0.000
4.844 6.415 0.000
-2.128 0.000 4.807
Sr Be Se O
2 4 2 12
Direct
0.117 0.883 0.750
0.883 0.117 0.250
0.220 0.288 0.919
0.288 0.220 0.419
0.712 0.780 0.581
0.780 0.712 0.081
0.320 0.680 0.250
0.680 0.320 0.750
0.137 0.644 0.350
0.172 0.194 0.124
0.194 0.172 0.624
0.295 0.503 0.975
0.356 0.863 0.150
0.497 0.705 0.525
0.503 0.295 0.475
0.644 0.137 0.850
0.705 0.497 0.025
0.806 0.828 0.376
0.828 0.806 0.876
0.863 0.356 0.650
```

Calculated values
The calculation puts the uncorrected formation energy at -1.94 eV/atom. Its total magnetic moment is 0.00 μB/f.u. The value obtained for the density of states at the Fermi level is 0.0 states/eV/cell.

SrBeSe2O8 after structural relaxation, computed with PBE-GGA.

Structure (POSCAR):
```
SrBeSe2O8
1.0
4.982 0.000 0.000
-2.491 4.315 0.000
0.000 0.000 7.163
Sr Be Se O
1 1 2 8
Direct
0.000 0.000 0.000
0.000 0.000 0.500
0.333 0.667 0.719
0.667 0.333 0.281
0.045 0.313 0.660
0.268 0.955 0.660
0.313 0.268 0.340
0.333 0.667 0.953
0.667 0.333 0.047
0.687 0.732 0.660
0.732 0.045 0.340
0.955 0.687 0.340
```

Calculated values
The calculation puts the uncorrected formation energy at -1.36 eV/atom. Its total magnetic moment is 0.00 μB/f.u. The value obtained for the density of states at the Fermi level is 0.0 states/eV/cell.

SrBe4Se3O12 after structural relaxation, computed with PBE-GGA.

Structure (POSCAR):
```
SrBe4Se3O12
1.0
5.028 2.903 2.596
-5.028 2.903 2.596
0.000 -5.806 2.596
Sr Be Se O
1 4 3 12
Direct
0.000 0.000 0.000
0.067 0.500 0.933
0.500 0.500 0.500
0.500 0.933 0.067
0.933 0.067 0.500
0.000 0.553 0.447
0.447 0.000 0.553
0.553 0.447 0.000
0.021 0.620 0.751
0.087 0.913 0.500
0.249 0.380 0.979
0.345 0.655 0.500
0.380 0.979 0.249
0.500 0.087 0.913
0.500 0.345 0.655
0.620 0.751 0.021
0.655 0.500 0.345
0.751 0.021 0.620
0.913 0.500 0.087
0.979 0.249 0.380
```

Calculated values
The calculation puts the uncorrected formation energy at -1.50 eV/atom. Its total magnetic moment is 0.00 μB/f.u. The value obtained for the density of states at the Fermi level is 5.4 states/eV/cell.

SrBeSeO6 after structural relaxation, computed with PBE-GGA.

Structure (POSCAR):
```
SrBeSeO6
1.0
4.845 0.000 0.000
-2.423 4.196 0.000
0.000 0.000 5.480
Sr Be Se O
1 1 1 6
Direct
0.000 0.000 0.000
0.333 0.667 0.500
0.667 0.333 0.500
0.389 0.008 0.311
0.389 0.381 0.689
0.619 0.008 0.689
0.619 0.611 0.311
0.992 0.381 0.311
0.992 0.611 0.689
```

Calculated values
The calculation puts the uncorrected formation energy at -1.28 eV/atom. Its total magnetic moment is 2.01 μB/f.u. The value obtained for the density of states at the Fermi level is 3.5 states/eV/cell.

| no. | calculated volume (Å³/atom) |
| --- | --- |
| 1 | 11.43 |
| 2 | 10.20 |
| 3 | 14.93 |
| 4 | 12.83 |
| 5 | 11.37 |
| 6 | 12.38 |